1.
A plane-wave DFT calculation with PBE was carried out for a relaxed KPrS2O6 crystal. Values from VASP.

Output
uncorrected formation energy	-2019	meV per atom
SG	C2/c
raw total energy	-6.41	eV per atom

Quantum ESPRESSO input file:
```
&SYSTEM
  ibrav = 0, nat = 20, ntyp = 4
/
ATOMIC_SPECIES
K 39.10 K.upf
Pr 140.91 Pr.upf
S 32.06 S.upf
O 16.00 O.upf
ATOMIC_POSITIONS crystal
K 0.1418 0.8582 0.7500
K 0.8582 0.1418 0.2500
Pr 0.4480 0.5520 0.2500
Pr 0.5520 0.4480 0.7500
S 0.0836 0.3448 0.7814
S 0.3448 0.0836 0.2814
S 0.6552 0.9164 0.7186
S 0.9164 0.6552 0.2186
O 0.0809 0.5264 0.2448
O 0.1551 0.3030 0.6116
O 0.2896 0.5097 0.9233
O 0.3030 0.1551 0.1116
O 0.4736 0.9191 0.2552
O 0.4903 0.7104 0.5767
O 0.5097 0.2896 0.4233
O 0.5264 0.0809 0.7448
O 0.6970 0.8449 0.8884
O 0.7104 0.4903 0.0767
O 0.8449 0.6970 0.3884
O 0.9191 0.4736 0.7552
CELL_PARAMETERS angstrom
4.3936 -5.1643 0.0000
4.3936 5.1643 0.0000
-3.2213 0.0000 7.3914
```

---

2.
A plane-wave DFT calculation with PBE was carried out for a relaxed Dy3Mg7Sc crystal. Values from VASP.

Output
energy of formation from the pure elements	86	meV/atom
SG	Cmcm
raw total energy	-2.76	eV per atom

Quantum ESPRESSO input file:
```
&SYSTEM
  ibrav = 0, nat = 22, ntyp = 3
/
ATOMIC_SPECIES
Dy 162.50 Dy.upf
Mg 24.30 Mg.upf
Sc 44.96 Sc.upf
ATOMIC_POSITIONS crystal
Dy 0.1184 0.8816 0.5362
Dy 0.1184 0.8816 0.9638
Dy 0.2463 0.7537 0.2500
Dy 0.7537 0.2463 0.7500
Dy 0.8816 0.1184 0.0362
Dy 0.8816 0.1184 0.4638
Mg 0.2631 0.7369 0.5744
Mg 0.2631 0.7369 0.9256
Mg 0.3745 0.6255 0.6589
Mg 0.3745 0.6255 0.8411
Mg 0.3965 0.6035 0.2500
Mg 0.4936 0.5064 0.5880
Mg 0.4936 0.5064 0.9120
Mg 0.5064 0.4936 0.0880
Mg 0.5064 0.4936 0.4120
Mg 0.6035 0.3965 0.7500
Mg 0.6255 0.3745 0.1589
Mg 0.6255 0.3745 0.3411
Mg 0.7369 0.2631 0.0744
Mg 0.7369 0.2631 0.4256
Sc 0.0209 0.9791 0.2500
Sc 0.9791 0.0209 0.7500
CELL_PARAMETERS angstrom
1.6337 -11.1774 0.0000
1.6337 11.1774 0.0000
0.0000 0.0000 16.0356
```